Record 1
# TbPmSiPt PBE relaxed
# Electronic total energy in eV per atom: -6.20
# Relative energy among the computed polymorphs in eV per formula unit: 0.00
# Crystal system: orthorhombic
# Fermi-level density of states in states/eV/cell: 5.8
data_TbPmSiPt
_symmetry_space_group_name_H-M 'A m m 2'
_symmetry_Int_Tables_number 38
_cell_length_a 4.1881
_cell_length_b 4.0766
_cell_length_c 10.9387
_cell_angle_alpha 90.00
_cell_angle_beta 90.00
_cell_angle_gamma 90.00
loop_
_symmetry_equiv_pos_as_xyz
'x,y,z'
'-x,-y,z'
'-x,y,z'
'x,-y,z'
'x,y+1/2,z+1/2'
'-x,-y+1/2,z+1/2'
'-x,y+1/2,z+1/2'
'x,-y+1/2,z+1/2'
loop_
_atom_site_label
_atom_site_fract_x
_atom_site_fract_y
_atom_site_fract_z
_atom_site_occupancy
Tb1 0.0000 0.0000 0.0000 1
Pm1 0.5000 0.0000 0.2803 1
Si1 0.0000 0.0000 0.7095 1
Pt1 0.5000 0.0000 0.5594 1

=====

Record 2
# TbPm2Si3Pt12 PBE relaxed
# Electronic total energy in eV per atom: -6.27
# Crystal system: trigonal
# Fermi-level density of states in states/eV/cell: 29.5
data_TbPm2Si3Pt12
_symmetry_space_group_name_H-M 'R -3 m'
_symmetry_Int_Tables_number 166
_symmetry_space_group_name_Hall '-R 3 2"'
_cell_length_a 8.3396
_cell_length_b 8.3396
_cell_length_c 18.0220
_cell_angle_alpha 90.00
_cell_angle_beta 90.00
_cell_angle_gamma 120.00
loop_
_atom_site_label
_atom_site_fract_x
_atom_site_fract_y
_atom_site_fract_z
_atom_site_occupancy
Tb1 0.0000 0.0000 0.0000 1
Pm1 0.0000 0.0000 0.4020 1
Si1 0.0000 0.5000 0.5000 1
Pt1 0.0326 0.5163 0.3694 1
Pt2 0.0330 0.5165 0.8664 1

=====

Record 3
# TbPm2Si2Pt7 PBE relaxed
# Electronic total energy in eV per atom: -6.72
# Crystal system: monoclinic
# Fermi-level density of states in states/eV/cell: 10.9
data_TbPm2Si2Pt7
_symmetry_space_group_name_H-M 'C 1 2/m 1'
_symmetry_Int_Tables_number 12
_cell_length_a 5.8026
_cell_length_b 5.7491
_cell_length_c 13.8580
_cell_angle_alpha 90.00
_cell_angle_beta 97.95
_cell_angle_gamma 90.00
loop_
_symmetry_equiv_pos_as_xyz
'x,y,z'
'-x,-y,-z'
'-x,y,-z'
'x,-y,z'
'x+1/2,y+1/2,z'
'-x+1/2,-y+1/2,-z'
'-x+1/2,y+1/2,-z'
'x+1/2,-y+1/2,z'
loop_
_atom_site_label
_atom_site_fract_x
_atom_site_fract_y
_atom_site_fract_z
_atom_site_occupancy
Tb1 0.0000 0.0000 0.0000 1
Pm1 0.1065 0.0000 0.3555 1
Si1 0.0853 0.5000 0.2530 1
Pt1 0.0000 0.5000 0.0000 1
Pt2 0.1195 0.5000 0.4243 1
Pt3 0.1963 0.2505 0.8406 1

=====

Record 4
# PmThSi2Pt2 PBE relaxed
# Electronic total energy in eV per atom: -7.00
# Crystal system: trigonal
# Fermi-level density of states in states/eV/cell: 4.3
data_PmThSi2Pt2
_symmetry_space_group_name_H-M 'P -3 m 1'
_symmetry_Int_Tables_number 164
_symmetry_space_group_name_Hall '-P 3 2"'
_cell_length_a 4.2358
_cell_length_b 4.2358
_cell_length_c 8.2183
_cell_angle_alpha 90.00
_cell_angle_beta 90.00
_cell_angle_gamma 120.00
loop_
_atom_site_label
_atom_site_fract_x
_atom_site_fract_y
_atom_site_fract_z
_atom_site_occupancy
Pm1 0.0000 0.0000 0.0000 1
Th1 0.0000 0.0000 0.5000 1
Si1 0.3333 0.6667 0.7479 1
Pt1 0.3333 0.6667 0.2498 1

=====

| no. | theoretical density (g/cm³) | E_form (uncorrected) (kJ/mol of atoms) |
| --- | --- | --- |
| 1 | 9.37 | -95.8 |
| 2 | 13.19 | -53.4 |
| 3 | 13.57 | -107.3 |
| 4 | 10.71 | -110.8 |